*a*
4
Lattice="10.1461 -0.0292 -0.0172 9.5647 3.3853 -0.0172 9.5647 1.6286 2.9679" Properties=species:S:1:pos:R:3 comment="YIrBr2 | the Alexandria database | PBE-GGA | relaxed" volume_a3_per_cell=103.3 sg=R-3m crystal_system=trigonal pbc="T T T"
Y 21.9567 3.7386 2.2002
Ir 7.3189 1.2462 0.7334
Br 0.4845 0.0825 0.0486
Br 14.1533 2.4099 1.4182

---

*b*
4
Lattice="4.1035 0.0339 0.0000 -1.8620 3.6569 0.0000 0.0000 0.0000 6.7111" Properties=species:S:1:pos:R:3 comment="YIrBr2 | the Alexandria database | PBE-GGA | relaxed" volume_a3_per_cell=101.1 sg=Cmmm crystal_system=orthorhombic pbc="T T T"
Y 1.1208 1.8454 5.0334
Ir 1.1208 1.8454 1.6778
Br 0.0000 0.0000 0.1596
Br 0.0000 0.0000 3.1960

---

*c*
4
Lattice="5.7820 0.0148 0.0000 2.8457 5.0333 0.0000 -4.3138 -2.5240 2.9072" Properties=species:S:1:pos:R:3 comment="YIrBr2 | the Alexandria database | PBE-GGA | relaxed" volume_a3_per_cell=84.5 sg=I-4m2 crystal_system=tetragonal pbc="T T T"
Y 2.8910 0.0074 1.4536
Ir 4.3138 2.5240 0.0000
Br 0.0000 0.0000 0.0000
Br 1.4228 2.5166 1.4536

---

The winner here is *c*, beating the second structure by 374 meV/atom.

---

*a*
4
Lattice="3.5877 0.0000 0.0000 0.0000 5.3910 0.0000 0.0000 0.0000 4.4753" Properties=species:S:1:pos:R:3 comment="YIrBr2 | the Alexandria database | PBE-GGA | relaxed" volume_a3_per_cell=86.6 sg=Pmmm crystal_system=orthorhombic pbc="T T T"
Y 0.0000 2.6955 2.2376
Ir 1.7939 0.0000 2.2376
Br 0.0000 0.0000 0.0000
Br 1.7939 2.6955 0.0000

---

*b*
4
Lattice="7.7718 0.0037 -0.0161 5.6780 5.3068 0.0161 -6.6947 -2.7317 2.8496" Properties=species:S:1:pos:R:3 comment="YIrBr2 | the Alexandria database | PBE-GGA | relaxed" volume_a3_per_cell=117.5 sg=Immm crystal_system=orthorhombic pbc="T T T"
Y 2.8541 2.6152 1.4329
Ir 3.9010 -0.0364 1.4167
Br 12.0436 4.7552 0.0000
Br 8.1312 3.2104 0.0000

---

*c*
4
Lattice="5.5548 -0.0011 0.0227 -1.9314 5.2083 0.0227 1.8158 2.6094 3.2690" Properties=species:S:1:pos:R:3 comment="YIrBr2 | the Alexandria database | PBE-GGA | relaxed" volume_a3_per_cell=93.9 sg=C2/m crystal_system=monoclinic pbc="T T T"
Y -0.0578 3.9088 1.6459
Ir 3.6853 1.3042 1.6459
Br 0.0000 0.0000 0.0000
Br 1.8117 2.6036 0.0227

---

The winner here is *b*, beating the second structure by 148 meV/atom.

---

*a*
4
Lattice="4.4348 0.0000 0.0000 0.0000 4.6332 -0.0076 0.0000 0.3441 4.6338" Properties=species:S:1:pos:R:3 comment="YIrBr2 | the Alexandria database | PBE-GGA | relaxed" volume_a3_per_cell=95.2 sg=P2/m crystal_system=monoclinic pbc="T T T"
Y 2.2174 3.7329 3.4697
Ir 2.2174 1.2443 1.1566
Br 0.0000 0.1186 0.1098
Br 0.0000 2.3700 2.2033

---

*b*
4
Lattice="-7.3593 2.9404 4.7128 -5.0184 5.3504 5.5861 -6.7969 5.6525 2.6204" Properties=species:S:1:pos:R:3 comment="YIrBr2 | the Alexandria database | PBE-GGA | relaxed" volume_a3_per_cell=93.9 sg=R-3m crystal_system=trigonal pbc="T T T"
Y -9.5873 6.9717 6.4597
Ir 0.0000 0.0000 0.0000
Br -17.4363 12.6793 11.7481
Br -1.7384 1.2641 1.1713

---

*c*
4
Lattice="4.9198 0.0000 0.0000 2.4599 4.2607 0.0000 2.4599 1.4202 4.0170" Properties=species:S:1:pos:R:3 comment="YIrBr2 | the Alexandria database | PBE-GGA | relaxed" volume_a3_per_cell=84.2 sg=Fm-3m crystal_system=cubic pbc="T T T"
Y 4.9198 2.8405 2.0085
Ir 0.0000 0.0000 0.0000
Br 2.4599 1.4202 1.0043
Br 7.3798 4.2607 3.0128

---

*d*
4
Lattice="-5.0326 4.9590 -3.1725 -6.3725 1.5423 -4.1227 -2.3790 -0.0511 3.5385" Properties=species:S:1:pos:R:3 comment="YIrBr2 | the Alexandria database | PBE-GGA | relaxed" volume_a3_per_cell=121.4 sg=C2/m crystal_system=monoclinic pbc="T T T"
Y -10.3381 4.8377 -2.8175
Ir -3.4460 1.6126 -0.9392
Br -3.5292 0.6395 2.6771
Br -5.7419 2.5345 -1.0170

---

The winner here is *d*, beating the second structure by 637 meV/atom.

---

*a*
4
Lattice="-6.0218 -4.0502 2.0874 -1.9213 -4.4329 5.8036 2.6699 6.4484 -2.8833" Properties=species:S:1:pos:R:3 comment="YIrBr2 | the Alexandria database | PBE-GGA | relaxed" volume_a3_per_cell=106.9 sg=Imm2 crystal_system=orthorhombic pbc="T T T"
Y -2.2416 -1.7860 4.0589
Ir -3.7292 -3.9827 3.7048
Br -7.7544 -8.2816 7.7037
Br -3.4626 -0.7090 1.3770

---

*b*
4
Lattice="-7.9642 4.4235 -1.4678 -6.7612 3.7095 -5.0671 -8.6417 0.9820 -3.0832" Properties=species:S:1:pos:R:3 comment="YIrBr2 | the Alexandria database | PBE-GGA | relaxed" volume_a3_per_cell=115.6 sg=R3m crystal_system=trigonal pbc="T T T"
Y -17.7778 6.9347 -7.3175
Ir -11.6305 4.5368 -4.7872
Br -0.5251 0.2048 -0.2161
Br -5.1173 1.9961 -2.1063

---

*c*
4
Lattice="3.4313 0.0000 0.0000 0.0000 3.7990 0.0000 0.0000 0.0000 6.5988" Properties=species:S:1:pos:R:3 comment="YIrBr2 | the Alexandria database | PBE-GGA | relaxed" volume_a3_per_cell=86.0 sg=Pmmm crystal_system=orthorhombic pbc="T T T"
Y 1.7156 1.8995 4.9491
Ir 1.7156 1.8995 1.6497
Br 0.0000 0.0000 6.5447
Br 0.0000 0.0000 3.3536

---

The winner here is *a*, beating the second structure by 108 meV/atom.

---

*a*
4
Lattice="8.9806 -0.0129 -0.0076 8.4116 3.1458 -0.0076 8.4116 1.5152 2.7569" Properties=species:S:1:pos:R:3 comment="YIr2Br | the Alexandria database | PBE-GGA | relaxed" volume_a3_per_cell=78.4 sg=R-3m crystal_system=trigonal pbc="T T T"
Y 6.4510 1.1621 0.6854
Ir 0.0057 0.0010 0.0006
Ir 12.8963 2.3231 1.3703
Br 19.3529 3.4862 2.0563

---

*b*
4
Lattice="4.7654 0.0000 0.0000 2.3827 4.1269 0.0000 2.3827 1.3756 3.8909" Properties=species:S:1:pos:R:3 comment="YIr2Br | the Alexandria database | PBE-GGA | relaxed" volume_a3_per_cell=76.5 sg=F-43m crystal_system=cubic pbc="T T T"
Y 7.1480 4.1269 2.9182
Ir 0.0000 0.0000 0.0000
Ir 2.3827 1.3756 0.9727
Br 4.7654 2.7513 1.9454

---

*c*
4
Lattice="-0.0955 7.2988 -2.6144 -1.3455 4.9345 -5.8272 -4.0557 5.9763 -2.8199" Properties=species:S:1:pos:R:3 comment="YIr2Br | the Alexandria database | PBE-GGA | relaxed" volume_a3_per_cell=111.5 sg=R3m crystal_system=trigonal pbc="T T T"
Y -2.8566 9.4635 -5.8526
Ir -5.1629 17.1040 -10.5778
Ir -1.4843 4.9173 -3.0411
Br -4.2377 14.0389 -8.6822

---

The winner here is *c*, beating the second structure by 700 meV/atom.

---

*a*
4
Lattice="5.1390 0.0000 0.0000 0.0000 3.0795 0.0087 0.0000 0.0227 4.7227" Properties=species:S:1:pos:R:3 comment="YIr2Br | the Alexandria database | PBE-GGA | relaxed" volume_a3_per_cell=74.7 sg=P2/m crystal_system=monoclinic pbc="T T T"
Y 2.5695 0.7755 1.1828
Ir 0.0000 3.0360 4.7243
Ir 0.0000 1.6172 2.3728
Br 2.5695 2.3266 3.5485

---

*b*
4
Lattice="3.5058 0.0000 0.0000 0.0000 3.5058 0.0000 0.0000 0.0000 7.9278" Properties=species:S:1:pos:R:3 comment="YIr2Br | the Alexandria database | PBE-GGA | relaxed" volume_a3_per_cell=97.4 sg=P4mm crystal_system=tetragonal pbc="T T T"
Y 0.0000 0.0000 3.6791
Ir 0.0000 0.0000 1.0590
Ir 1.7529 1.7529 1.7179
Br 1.7529 1.7529 5.4356

---

*c*
4
Lattice="-4.0487 0.6142 2.4768 0.0606 -4.6868 -3.3035 0.7422 -2.3347 1.9097" Properties=species:S:1:pos:R:3 comment="YIr2Br | the Alexandria database | PBE-GGA | relaxed" volume_a3_per_cell=74.2 sg=C2/m crystal_system=monoclinic pbc="T T T"
Y 0.4014 -3.5108 -0.6969
Ir 0.0000 0.0000 0.0000
Ir -1.6533 -0.8603 2.1933
Br -1.9940 -2.0363 -0.4133

---

*d*
4
Lattice="5.8626 0.0431 -0.0090 2.6859 5.2114 0.0090 -3.9721 -3.1188 2.9779" Properties=species:S:1:pos:R:3 comment="YIr2Br | the Alexandria database | PBE-GGA | relaxed" volume_a3_per_cell=90.7 sg=Imm2 crystal_system=orthorhombic pbc="T T T"
Y 4.2528 2.6141 0.0000
Ir 8.4428 5.1895 0.0000
Ir 3.8084 0.2221 1.4844
Br 0.8950 1.9918 1.4934

---

The winner here is *b*, beating the second structure by 300 meV/atom.

---

*a*
4
Lattice="-1.2940 1.9117 4.9149 0.1675 -3.5353 1.4192 3.6995 0.4898 0.7835" Properties=species:S:1:pos:R:3 comment="YIr2Br | the Alexandria database | PBE-GGA | relaxed" volume_a3_per_cell=79.0 sg=P4/mmm crystal_system=tetragonal pbc="T T T"
Y -0.5633 -0.8118 3.1670
Ir 0.0000 0.0000 0.0000
Ir 1.9335 -1.5228 1.1014
Br 1.2028 1.2008 2.8492

---

*b*
4
Lattice="5.8236 -0.0158 0.0000 3.2551 4.8290 0.0000 -4.5394 -2.4066 2.7418" Properties=species:S:1:pos:R:3 comment="YIr2Br | the Alexandria database | PBE-GGA | relaxed" volume_a3_per_cell=77.2 sg=I4/mmm crystal_system=tetragonal pbc="T T T"
Y 1.6276 2.4145 1.3709
Ir 0.0000 0.0000 0.0000
Ir 4.5394 2.4066 0.0000
Br 2.9118 -0.0079 1.3709

---

The winner here is *b*, beating the second structure by 19 meV/atom.

---

*a*
4
Lattice="-2.3358 -2.1724 -3.6955 -1.9451 -1.7034 4.1409 -2.2379 2.4676 -0.0361" Properties=species:S:1:pos:R:3 comment="YIr2Br | the Alexandria database | PBE-GGA | relaxed" volume_a3_per_cell=75.8 sg=Cmmm crystal_system=orthorhombic pbc="T T T"
Y -2.2868 0.1476 -1.8658
Ir 0.0000 0.0000 0.0000
Ir -2.1404 -1.9379 0.2227
Br -2.0915 0.3821 2.0524

---

*b*
4
Lattice="-1.3739 2.4778 2.0567 -1.4013 -2.4768 2.0478 5.8089 -1.2636 5.4028" Properties=species:S:1:pos:R:3 comment="YIr2Br | the Alexandria database | PBE-GGA | relaxed" volume_a3_per_cell=96.3 sg=Pm crystal_system=monoclinic pbc="T T T"
Y 1.8864 -2.0257 3.7006
Ir -0.2880 -2.0111 2.2305
Ir 0.2808 0.4621 2.6107
Br 1.9570 -2.0348 6.7386

---

*c*
8
Lattice="4.0408 0.0000 0.0000 0.0000 4.0408 0.0000 2.0204 2.0204 10.6722" Properties=species:S:1:pos:R:3 comment="YIr2Br | the Alexandria database | PBE-GGA | relaxed" volume_a3_per_cell=174.3 sg=I-42d crystal_system=tetragonal pbc="T T T"
Y 0.0000 0.0000 0.0000
Y 4.0408 2.0204 5.3361
Ir 3.3543 1.0102 2.6681
Ir 0.6866 3.0306 2.6681
Ir 3.0306 2.7070 8.0042
Ir 5.0510 5.3747 8.0042
Br 2.0204 2.0204 0.0000
Br 2.0204 4.0408 5.3361

---

The winner here is *b*, beating the second structure by 391 meV/atom.